DFT (PBE-GGA) results for an optimized crystal structure of VNiW2.

Summary:
- calculated volume (Å³ per atom) = 15.3
- crystal system = tetragonal
- magnetic moment (μB/f.u.) = 0.0
- space group = I-42d, No. 122
- ΔE to the lowest computed polymorph (eV/f.u.) = 2.281

Lattice parameters (Å, degrees): 6.855 6.855 5.196 90.00 90.00 90.00
Atoms (fractional coordinates):
V  0.000  0.000  0.000
V  0.000  0.500  0.250
V  0.500  0.000  0.750
V  0.500  0.500  0.500
Ni  0.000  0.000  0.500
Ni  0.000  0.500  0.750
Ni  0.500  0.000  0.250
Ni  0.500  0.500  0.000
W  0.235  0.250  0.625
W  0.250  0.735  0.875
W  0.250  0.765  0.375
W  0.265  0.250  0.125
W  0.735  0.750  0.125
W  0.750  0.235  0.375
W  0.750  0.265  0.875
W  0.765  0.750  0.625